Here is a relaxed Li2CaPm2In2 crystal from the Alexandria database. Energies are from PBE.

Cell: 4.9359 4.9359 27.4844 Å, 90.00 90.00 120.00°
Closest atoms and distances in Å follow each position.
Space group R-3m (No. 166, hexagonal axes)
Asymmetric unit:
Li1 0.0000 0.0000 0.1064 (multiplicity 6)  3 In 2.88
Ca1 0.0000 0.0000 0.5000 (multiplicity 3)  6 Li 3.30, 6 In 3.51, 2 Pm 3.53
Pm1 0.0000 0.0000 0.3715 (multiplicity 6)  4 In 3.21-3.59, 3 Li 3.41, 1 Ca 3.53, 3 Pm 3.54
In1 0.0000 0.0000 0.2410 (multiplicity 6)  3 Li 2.88, 3 Pm 3.21

Properties
* formation enthalpy at 0 K: -231 meV per atom
* calculated volume: 27.6 A^3/atom
* magnetic moment: 0.0 μB/cell

***

Here is a relaxed Si2SnTe crystal from the Alexandria database. Energies are from PBE.

Cell: 7.0247 7.0247 7.0247 Å, 90.00 90.00 90.00°
Closest atoms and distances in Å follow each position.
Space group Fm-3m (No. 225)
Asymmetric unit:
Si1 0.2500 0.2500 0.2500 (multiplicity 8)  4 Sn 3.04, 4 Te 3.04
Sn1 0.0000 0.0000 0.0000 (multiplicity 4)  8 Si 3.04
Te1 0.0000 0.0000 0.5000 (multiplicity 4)  8 Si 3.04

Properties
* formation energy without anion corrections: 2.19 eV per formula unit
* distance to the lowest polymorph of the same formula: 71 meV per atom
* calculated volume: 21.7 A^3/atom
* magnetic moment: 0.0 μB/cell

***

Here is a relaxed SrLiBr3 crystal from the Alexandria database. Energies are from PBE.

Cell: 4.6163 22.5763 7.1494 Å, 90.00 90.00 90.00°
Closest atoms and distances in Å follow each position.
Space group Ama2 (No. 40)
Asymmetric unit:
Sr1 0.2500 0.1669 0.0000 (multiplicity 4)  6 Br 3.00-3.15
Li1 0.2500 0.3921 0.9245 (multiplicity 4)  4 Br 2.54-2.79
Br1 0.2500 0.0766 0.3070 (multiplicity 4)  2 Li 2.56
Br2 0.2500 0.2816 0.7499 (multiplicity 4)  1 Li 2.79
Br3 0.2500 0.3837 0.2788 (multiplicity 4)  1 Li 2.54

Properties
* formation energy without anion corrections: -9.28 eV per formula unit
* distance to the lowest polymorph of the same formula: 11 meV per atom
* calculated volume: 37.3 A^3/atom
* magnetic moment: 0.0 μB/cell

***

Here is a relaxed SnO crystal from the Alexandria database. Energies are from PBE.

Cell: 3.3697 11.2520 6.2738 Å, 90.00 90.00 90.00°
Closest atoms and distances in Å follow each position.
Space group Pmmn (No. 59, origin choice 2)
Asymmetric unit:
Sn1 0.2500 0.0839 0.2196 (multiplicity 4)  3 O 2.05-2.18
Sn2 0.2500 0.7500 0.3277 (multiplicity 2)  2 O 2.13
O1 0.2500 0.2500 0.0835 (multiplicity 2)  2 Sn 2.05
O2 0.2500 0.6164 0.5688 (multiplicity 4)  3 Sn 2.13-2.18

Properties
* formation energy without anion corrections: -2.13 eV per formula unit
* calculated volume: 19.8 A^3/atom
* magnetic moment: 0.0 μB/cell

***

Here is a relaxed Pm5OsBr5 crystal from the Alexandria database. Energies are from PBE.

Cell: 13.0382 5.9431 8.9158 Å, 90.00 108.85 90.00°
Closest atoms and distances in Å follow each position.
Space group C2/m (No. 12)
Asymmetric unit:
Pm1 0.0000 0.0000 0.0000 (multiplicity 2)  2 Os 2.97, 4 Br 3.10-3.27
Pm2 0.1452 0.5000 0.2882 (multiplicity 4)  1 Os 2.65
Pm3 0.1664 0.5000 0.8674 (multiplicity 4)  1 Os 2.79, 2 Br 3.06
Os1 0.0000 0.5000 0.0000 (multiplicity 2)  6 Pm 2.65-2.97
Br1 0.0000 0.5000 0.5000 (multiplicity 2)  4 Pm 3.08-3.29
Br2 0.1430 0.0000 0.7820 (multiplicity 4)  5 Pm 3.02-3.31
Br3 0.1742 0.0000 0.3590 (multiplicity 4)  5 Pm 3.04-3.33

Properties
* formation energy without anion corrections: -12.58 eV per formula unit
* calculated volume: 29.7 A^3/atom
* magnetic moment: 0.0 μB/cell

***

Here is a relaxed ZnFe2B crystal from the Alexandria database. Energies are from PBE.

Cell: 2.5400 2.5400 6.2935 Å, 90.00 90.00 90.00°
Closest atoms and distances in Å follow each position.
Space group P4/mmm (No. 123)
Asymmetric unit:
Zn1 0.0000 0.0000 0.0000 (multiplicity 1)  4 Zn 2.54, 8 Fe 2.65
Fe1 0.5000 0.5000 0.3104 (multiplicity 2)  4 B 2.16, 1 Fe 2.39
B1 0.0000 0.0000 0.5000 (multiplicity 1)  8 Fe 2.16

Properties
* formation enthalpy at 0 K: -68 meV per atom
* distance to the lowest polymorph of the same formula: 0 meV per atom
* calculated volume: 10.2 A^3/atom
* magnetic moment: 3.1 μB/cell